A plane-wave DFT calculation with GGA-PBE was carried out for a relaxed structure of Pr2DyBi3.

Results
symmetry: C2/m, No. 12
E above lowest polymorph: 0 meV per atom
formation energy: -5.53 eV/f.u.
total energy: -5.22 eV per atom

abc: 7.951 7.951 7.942
angles: 99.61 99.61 120.01
Fractional coordinates of all 12 atoms:
Pr 0.000 0.000 0.000
Pr 0.164 0.836 0.500
Pr 0.500 0.500 0.500
Pr 0.836 0.164 0.500
Dy 0.332 0.668 0.000
Dy 0.668 0.332 0.000
Bi 0.082 0.421 0.244
Bi 0.259 0.259 0.759
Bi 0.421 0.082 0.244
Bi 0.579 0.918 0.756
Bi 0.741 0.741 0.241
Bi 0.918 0.579 0.756